1.
Rb3Tc: relaxed, PBE.

a = 6.253 Å, b = 6.253 Å, c = 10.657 Å
α = 90.00°, β = 90.00°, γ = 90.00°
Atoms (fractional coordinates):
Rb 0.000 0.000 0.000
Rb 0.000 0.500 0.250
Rb 0.000 0.500 0.750
Rb 0.500 0.000 0.250
Rb 0.500 0.000 0.750
Rb 0.500 0.500 0.500
Tc 0.000 0.000 0.500
Tc 0.500 0.500 0.000

Calculated values
E_form   1.236 eV/atom
ρ   2.82 g cm⁻³

---

2.
RbTc: relaxed, PBE.

a = 9.318 Å, b = 8.461 Å, c = 6.110 Å
α = 77.66°, β = 62.51°, γ = 39.83°
Atoms (fractional coordinates):
Rb 0.037 0.713 0.037
Rb 0.287 0.963 0.287
Rb 0.713 0.037 0.713
Rb 0.963 0.287 0.963
Tc 0.308 0.308 0.442
Tc 0.442 0.442 0.308
Tc 0.558 0.558 0.692
Tc 0.692 0.692 0.558

Calculated values
E_form   1.461 eV/atom
Energy above the lowest structure with this stoichiometry   1.726 eV/f.u.
ρ   4.60 g cm⁻³

---

3.
RbTc: relaxed, PBE.

a = 7.131 Å, b = 7.131 Å, c = 7.131 Å
α = 90.00°, β = 90.00°, γ = 90.00°
Atoms (fractional coordinates):
Rb 0.000 0.000 0.000
Rb 0.000 0.500 0.500
Rb 0.500 0.000 0.500
Rb 0.500 0.500 0.000
Tc 0.000 0.000 0.500
Tc 0.000 0.500 0.000
Tc 0.500 0.000 0.000
Tc 0.500 0.500 0.500

Calculated values
E_form   2.574 eV/atom
Energy above the lowest structure with this stoichiometry   3.951 eV/f.u.
ρ   3.36 g cm⁻³

---

4.
RbTc: relaxed, PBE.

a = 8.440 Å, b = 8.440 Å, c = 8.440 Å
α = 90.00°, β = 90.00°, γ = 90.00°
Atoms (fractional coordinates):
Rb 0.000 0.000 0.000
Rb 0.000 0.500 0.500
Rb 0.500 0.000 0.500
Rb 0.500 0.500 0.000
Tc 0.250 0.250 0.750
Tc 0.250 0.750 0.250
Tc 0.750 0.250 0.250
Tc 0.750 0.750 0.750

Calculated values
E_form   2.814 eV/atom
Energy above the lowest structure with this stoichiometry   4.430 eV/f.u.
ρ   2.03 g cm⁻³

---

5.
RbTc: relaxed, PBE.

a = 3.658 Å, b = 6.336 Å, c = 11.898 Å
α = 90.00°, β = 90.00°, γ = 90.00°
Atoms (fractional coordinates):
Rb 0.000 0.250 0.103
Rb 0.000 0.750 0.897
Rb 0.500 0.250 0.397
Rb 0.500 0.750 0.603
Tc 0.000 0.250 0.694
Tc 0.000 0.750 0.306
Tc 0.500 0.250 0.806
Tc 0.500 0.750 0.194

Calculated values
E_form   1.085 eV/atom
Energy above the lowest structure with this stoichiometry   0.973 eV/f.u.
ρ   4.42 g cm⁻³

---

6.
RbTc4: relaxed, PBE.

a = 4.594 Å, b = 4.594 Å, c = 4.594 Å
α = 90.00°, β = 90.00°, γ = 90.00°
Atoms (fractional coordinates):
Rb 0.000 0.000 0.000
Tc 0.000 0.000 0.500
Tc 0.000 0.500 0.000
Tc 0.500 0.000 0.000
Tc 0.500 0.500 0.500

Calculated values
E_form   3.442 eV/atom
ρ   8.18 g cm⁻³

---

7.
RbTc: relaxed, PBE.

a = 3.764 Å, b = 6.389 Å, c = 17.355 Å
α = 90.00°, β = 90.00°, γ = 90.00°
Atoms (fractional coordinates):
Rb 0.000 0.000 0.000
Rb 0.000 0.500 0.312
Rb 0.000 0.500 0.688
Rb 0.500 0.000 0.188
Rb 0.500 0.000 0.812
Rb 0.500 0.500 0.500
Tc 0.000 0.000 0.500
Tc 0.000 0.500 0.085
Tc 0.000 0.500 0.915
Tc 0.500 0.000 0.415
Tc 0.500 0.000 0.585
Tc 0.500 0.500 0.000

Calculated values
E_form   1.149 eV/atom
Energy above the lowest structure with this stoichiometry   1.102 eV/f.u.
ρ   4.38 g cm⁻³

---

8.
Rb4Tc: relaxed, PBE.

a = 7.078 Å, b = 7.078 Å, c = 7.078 Å
α = 90.00°, β = 90.00°, γ = 90.00°
Atoms (fractional coordinates):
Rb 0.000 0.000 0.000
Rb 0.000 0.500 0.500
Rb 0.500 0.000 0.500
Rb 0.500 0.500 0.000
Tc 0.500 0.500 0.500

Calculated values
E_form   1.016 eV/atom
ρ   2.06 g cm⁻³

---

9.
RbTc: relaxed, PBE.

a = 7.474 Å, b = 7.474 Å, c = 7.152 Å
α = 90.00°, β = 90.00°, γ = 90.00°
Atoms (fractional coordinates):
Rb 0.176 0.176 0.000
Rb 0.324 0.676 0.500
Rb 0.676 0.324 0.500
Rb 0.824 0.824 0.000
Tc 0.096 0.096 0.500
Tc 0.404 0.596 0.000
Tc 0.596 0.404 0.000
Tc 0.904 0.904 0.500

Calculated values
E_form   1.742 eV/atom
Energy above the lowest structure with this stoichiometry   2.287 eV/f.u.
ρ   3.05 g cm⁻³

---

10.
RbTc: relaxed, PBE.

a = 12.736 Å, b = 12.736 Å, c = 4.865 Å
α = 90.00°, β = 90.00°, γ = 90.00°
Atoms (fractional coordinates):
Rb 0.092 0.650 0.000
Rb 0.204 0.325 0.500
Rb 0.325 0.796 0.500
Rb 0.350 0.092 0.000
Rb 0.650 0.908 0.000
Rb 0.675 0.204 0.500
Rb 0.796 0.675 0.500
Rb 0.908 0.350 0.000
Tc 0.001 0.133 0.500
Tc 0.060 0.119 0.000
Tc 0.119 0.940 0.000
Tc 0.133 0.999 0.500
Tc 0.867 0.001 0.500
Tc 0.881 0.060 0.000
Tc 0.940 0.881 0.000
Tc 0.999 0.867 0.500

Calculated values
E_form   0.598 eV/atom
Energy above the lowest structure with this stoichiometry   0.000 eV/f.u.
ρ   3.09 g cm⁻³

---

11.
RbTc: relaxed, PBE.

a = 10.570 Å, b = 10.570 Å, c = 10.570 Å
α = 90.00°, β = 90.00°, γ = 90.00°
Atoms (fractional coordinates):
Rb 0.214 0.214 0.214
Rb 0.214 0.786 0.786
Rb 0.286 0.286 0.714
Rb 0.286 0.714 0.286
Rb 0.714 0.286 0.286
Rb 0.714 0.714 0.714
Rb 0.786 0.214 0.786
Rb 0.786 0.786 0.214
Tc 0.082 0.082 0.918
Tc 0.082 0.918 0.082
Tc 0.418 0.418 0.418
Tc 0.418 0.582 0.582
Tc 0.582 0.418 0.582
Tc 0.582 0.582 0.418
Tc 0.918 0.082 0.082
Tc 0.918 0.918 0.918

Calculated values
E_form   1.513 eV/atom
Energy above the lowest structure with this stoichiometry   1.829 eV/f.u.
ρ   2.06 g cm⁻³

---

12.
RbTc: relaxed, PBE.

a = 2.927 Å, b = 6.145 Å, c = 2.929 Å
α = 90.00°, β = 119.92°, γ = 90.00°
Atoms (fractional coordinates):
Rb 0.000 0.000 0.000
Tc 0.667 0.500 0.339

Calculated values
E_form   1.757 eV/atom
Energy above the lowest structure with this stoichiometry   2.318 eV/f.u.
ρ   6.67 g cm⁻³